! PBE-GGA FeTeCl2, optimized geometry; values from VASP
&SYSTEM
  ibrav = 0, nat = 4, ntyp = 3
/
ATOMIC_SPECIES
Fe 55.84 Fe.upf
Te 127.60 Te.upf
Cl 35.45 Cl.upf
ATOMIC_POSITIONS crystal
Fe 0.000 0.000 0.000
Te 0.500 0.000 0.000
Cl 0.136 0.500 0.273
Cl 0.864 0.500 0.727
CELL_PARAMETERS angstrom
5.715 0.000 0.000
0.000 3.216 0.000
-2.851 0.000 6.264
! Space group: P2/m
! Distance to the lowest polymorph of the same formula, meV per atom: 50
! ΔE_f (raw), eV per atom: -0.3131